No. 1
Density functional theory data (PBE) for a relaxed Li2CaSb2 crystal.

a b c (Å): 4.516 4.516 6.804
angles (deg): 90.00 90.00 114.35
Fractional coordinates of all 5 atoms:
Li 0.170 0.830 0.000
Li 0.830 0.170 0.000
Ca 0.000 0.000 0.500
Sb 0.500 0.500 0.222
Sb 0.500 0.500 0.778

Final energy in eV per atom: -3.375
Calculated volume in A^3/atom: 25.29
Spin magnetization in μB/f.u.: 0.0

---

No. 2
Density functional theory data (PBE) for a relaxed BaMn2Si crystal.

a b c (Å): 3.337 3.337 7.598
angles (deg): 90.00 90.00 90.00
Fractional coordinates of all 4 atoms:
Ba 0.000 0.000 0.000
Mn 0.000 0.000 0.550
Mn 0.500 0.500 0.354
Si 0.500 0.500 0.677

Final energy in eV per atom: -6.113
Calculated volume in A^3/atom: 21.15
Spin magnetization in μB/f.u.: 7.1